The following is a PBE calculation of a geometry-optimized CeBeNiN structure, from the Alexandria database.

POSCAR file:
```
CeBeNiN
1.0
3.617 0.000 0.000
0.000 3.617 0.000
0.000 0.000 7.953
Ce Be Ni N
2 2 2 2
direct
0.250 0.250 0.163
0.750 0.750 0.837
0.250 0.250 0.659
0.750 0.750 0.341
0.250 0.750 0.500
0.750 0.250 0.500
0.250 0.250 0.864
0.750 0.750 0.136
```

## Properties
- N(E_F) (states/eV per cell) = 7.51
- volume (Å³/atom) = 13.00
- formation energy (no corrections) (eV per atom) = -0.896
- magnetic moment (μB per formula unit) = 0.49
- energy (eV per atom) = -6.838